DFT (PBE+U) results for a geometry-optimized MgTiMn2O6 structure.

Properties
Electronic total energy (eV/atom): -7.41

Lattice parameters (Å, degrees): 5.031 5.045 5.398 62.78 89.99 60.20
Fractional positions:
Mg 0.000 0.000 0.000
Ti 0.500 0.994 0.495
Mn 0.298 0.407 0.890
Mn 0.792 0.415 0.383
O 0.088 0.504 0.180
O 0.197 0.914 0.665
O 0.409 0.911 0.179
O 0.576 0.226 0.664
O 0.677 0.233 0.176
O 0.894 0.535 0.670